{
  "formula": "SrLa2Tl3Se6",
  "functional": "GGA-PBE",
  "state": "relaxed",
  "total_magnetization_mub_per_cell": 0.000,
  "raw_formation_energy_kj_per_mol_fu": -1527,
  "final_energy_ev_per_atom": -4.614,
  "cell": [[4.437, 0.000, 0.000], [0.000, 9.079, 0.216], [-2.219, -2.731, 9.496]],
  "species": ["Tl", "Tl", "Tl", "Se", "Se", "Se", "Se", "Se", "Se", "Sr", "La", "La"],
  "fractional_positions": [[0.835, 0.166, 0.670], [0.500, 0.500, 0.000], [0.165, 0.834, 0.330], [0.674, 0.563, 0.348], [0.664, 0.105, 0.327], [0.336, 0.895, 0.673], [0.326, 0.437, 0.652], [0.990, 0.753, 0.979], [0.010, 0.247, 0.021], [0.500, 0.000, 0.000], [0.167, 0.331, 0.334], [0.833, 0.669, 0.666]]
}